Record 1
An optimized crystal structure of CrAg2As, computed with PBE.

Output
ρ: 7931 kg/m3
Energy of formation: 6.65 kcal/mol of atoms

Unit cell a=4.780 b=4.780 c=5.300 alpha=98.41 beta=98.41 gamma=36.84
Fractional coordinates of all 4 atoms:
Cr 0.000 0.000 0.000
Ag 0.254 0.254 0.717
Ag 0.503 0.503 0.488
As 0.733 0.733 0.163

Record 2
An optimized crystal structure of Cr2AgAs2, computed with PBE.

Output
Excess energy over the best structure of this formula in the dataset: 0.0000 eV/atom
ρ: 7716 kg/m3
Energy of formation: 2.81 kcal/mol of atoms

Unit cell a=7.209 b=7.209 c=2.996 alpha=90.00 beta=90.00 gamma=90.00
Fractional coordinates of all 10 atoms:
Cr 0.141 0.359 0.000
Cr 0.359 0.859 0.000
Cr 0.641 0.141 0.000
Cr 0.859 0.641 0.000
Ag 0.000 0.000 0.500
Ag 0.500 0.500 0.500
As 0.151 0.651 0.500
As 0.349 0.151 0.500
As 0.651 0.849 0.500
As 0.849 0.349 0.500

Record 3
An optimized crystal structure of CrAg2As, computed with PBE.

Output
ρ: 8039 kg/m3
Energy of formation: 5.43 kcal/mol of atoms

Unit cell a=5.208 b=5.208 c=4.805 alpha=97.75 beta=97.75 gamma=33.27
Fractional coordinates of all 4 atoms:
Cr 0.000 0.000 0.000
Ag 0.255 0.255 0.755
Ag 0.745 0.745 0.245
As 0.500 0.500 0.500

Record 4
An optimized crystal structure of CrAgAs2, computed with PBE.

Output
Excess energy over the best structure of this formula in the dataset: 0.1517 eV/atom
ρ: 7334 kg/m3
Energy of formation: 4.78 kcal/mol of atoms

Unit cell a=4.411 b=4.411 c=3.604 alpha=90.00 beta=90.00 gamma=90.00
Fractional coordinates of all 4 atoms:
Cr 0.000 0.000 0.000
Ag 0.500 0.500 0.000
As 0.000 0.500 0.500
As 0.500 0.000 0.500

Record 5
An optimized crystal structure of CrAgAs2, computed with PBE.

Output
Excess energy over the best structure of this formula in the dataset: 0.0714 eV/atom
ρ: 7745 kg/m3
Energy of formation: 2.93 kcal/mol of atoms

Unit cell a=3.033 b=3.033 c=7.217 alpha=90.00 beta=90.00 gamma=90.00
Fractional coordinates of all 4 atoms:
Cr 0.000 0.000 0.000
Ag 0.000 0.000 0.500
As 0.500 0.500 0.199
As 0.500 0.500 0.801

Record 6
An optimized crystal structure of CrAg2As, computed with PBE.

Output
ρ: 8560 kg/m3
Energy of formation: 6.39 kcal/mol of atoms

Unit cell a=9.058 b=9.058 c=9.058 alpha=18.66 beta=18.66 gamma=18.66
Fractional coordinates of all 4 atoms:
Cr 0.000 0.000 0.000
Ag 0.250 0.250 0.250
Ag 0.493 0.493 0.493
As 0.731 0.731 0.731

Record 7
An optimized crystal structure of CrAg2As, computed with PBE.

Output
ρ: 7959 kg/m3
Energy of formation: 3.68 kcal/mol of atoms

Unit cell a=3.139 b=3.522 c=6.645 alpha=90.00 beta=103.36 gamma=90.00
Fractional coordinates of all 4 atoms:
Cr 0.000 0.000 0.000
Ag 0.260 0.000 0.526
Ag 0.638 0.500 0.279
As 0.427 0.500 0.852

Record 8
An optimized crystal structure of CrAgAs, computed with PBE.

Output
Excess energy over the best structure of this formula in the dataset: 0.3311 eV/atom
ρ: 7999 kg/m3
Energy of formation: 8.25 kcal/mol of atoms

Unit cell a=2.939 b=2.939 c=6.515 alpha=90.00 beta=90.00 gamma=120.00
Fractional coordinates of all 3 atoms:
Cr 0.000 0.000 0.000
Ag 0.667 0.333 0.345
As 0.333 0.667 0.739